(1)
Computed, not measured: a relaxed structure of Bi2AsSe at the PBE-GGA level of DFT.

```
Bi2AsSe
1.0
4.124 0.000 0.000
-2.062 3.571 0.000
0.000 0.000 22.845
Bi As Se
6 3 3
Cartesian
0.000 0.000 5.634
0.000 0.000 17.211
0.000 2.381 9.596
0.000 2.381 20.865
2.062 1.190 1.981
2.062 1.190 13.249
0.000 0.000 11.423
0.000 2.381 3.808
2.062 1.190 19.038
0.000 0.000 0.000
0.000 2.381 15.230
2.062 1.190 7.615
```

Calculated values
ρ (g/cm3): 8.467
Crystal system: trigonal
Formation energy from raw total energies (eV per atom): -0.10
E above lowest polymorph (eV/f.u.): 0.00

***

(2)
Computed, not measured: a relaxed structure of MgMo2Pb at the PBE-GGA level of DFT.

```
MgMo2Pb
1.0
3.036 0.000 0.000
0.000 4.460 0.000
0.000 0.000 5.863
Mg Mo Pb
1 2 1
Cartesian
0.000 0.000 0.000
1.518 2.230 1.154
1.518 2.230 4.709
0.000 0.000 2.931
```

Calculated values
Calculated formation energy (eV/atom): 0.6275
ρ (g/cm3): 8.856
Crystal system: orthorhombic
E above lowest polymorph (eV/f.u.): 1.37

***

(3)
Computed, not measured: a relaxed structure of LiCaRe3 at the PBE-GGA level of DFT.

```
LiCaRe3
1.0
4.339 0.000 0.000
0.000 4.339 0.000
0.000 0.000 4.339
Li Ca Re
1 1 3
Cartesian
0.000 0.000 0.000
2.170 2.170 2.170
0.000 0.000 2.170
0.000 2.170 0.000
2.170 0.000 0.000
```

Calculated values
Calculated formation energy (eV/atom): 1.5422
ρ (g/cm3): 12.309
Crystal system: cubic
E above lowest polymorph (eV/f.u.): 0.00

***

(4)
Computed, not measured: a relaxed structure of Nb2ZnNiH at the PBE-GGA level of DFT.

```
Nb2ZnNiH
1.0
4.022 0.000 0.000
0.000 4.022 0.000
0.000 0.000 3.969
Nb Zn Ni H
2 1 1 1
Cartesian
0.000 2.011 0.000
2.011 0.000 0.000
0.000 0.000 1.984
2.011 2.011 1.984
0.000 0.000 0.000
```

Calculated values
ρ (g/cm3): 8.042
Crystal system: tetragonal
E above lowest polymorph (eV/f.u.): 0.56

***

(5)
Computed, not measured: a relaxed structure of Sm2YScTl2 at the PBE-GGA level of DFT.

```
Sm2YScTl2
1.0
4.974 0.000 0.000
0.000 9.920 0.000
0.000 0.000 6.965
Sm Y Sc Tl
4 2 2 4
Cartesian
0.000 0.489 0.000
0.000 9.431 3.482
2.487 1.870 1.968
2.487 8.050 5.451
2.487 4.487 6.260
2.487 5.433 2.778
0.000 3.065 4.225
0.000 6.855 0.743
0.000 3.830 1.205
0.000 6.090 4.687
2.487 1.434 5.134
2.487 8.486 1.651
```

Calculated values
Calculated formation energy (eV/atom): -0.2695
ρ (g/cm3): 8.151
Crystal system: orthorhombic

***

(6)
Computed, not measured: a relaxed structure of ZnCrOs2 at the PBE-GGA level of DFT.

```
ZnCrOs2
1.0
2.712 0.000 0.000
0.000 3.952 0.000
-0.841 0.000 5.158
Zn Cr Os
1 1 2
Cartesian
0.000 0.000 0.000
-0.420 0.000 2.579
0.468 1.976 3.840
1.403 1.976 1.319
```

Calculated values
Calculated formation energy (eV/atom): 0.2801
ρ (g/cm3): 14.950
Crystal system: monoclinic

***

(7)
Computed, not measured: a relaxed structure of Pm8Pr2Tm3 at the PBE-GGA level of DFT.

```
Pm8Pr2Tm3
1.0
7.702 0.000 0.000
0.000 5.653 0.000
-3.844 0.000 10.398
Pm Pr Tm
8 2 3
Cartesian
-0.340 0.000 3.056
-1.923 2.826 8.676
-0.343 0.000 7.339
1.929 2.826 2.542
1.930 2.826 7.855
4.201 0.000 3.059
5.781 2.826 1.722
4.199 0.000 7.342
1.931 0.000 0.217
1.928 0.000 10.181
-0.272 2.826 5.199
1.929 0.000 5.199
4.130 2.826 5.198
```

Calculated values
Calculated formation energy (eV/atom): 0.2053
ρ (g/cm3): 7.148
Crystal system: monoclinic
E above lowest polymorph (eV/f.u.): 2.40

***

(8)
Computed, not measured: a relaxed structure of LiAl2As at the PBE-GGA level of DFT.

```
LiAl2As
1.0
6.557 0.000 0.000
0.000 6.557 0.000
0.000 0.000 6.557
Li Al As
4 8 4
Cartesian
0.000 0.000 0.000
0.000 3.278 3.278
3.278 0.000 3.278
3.278 3.278 0.000
0.000 0.000 3.278
0.000 3.278 0.000
1.639 1.639 1.639
1.639 4.918 4.918
3.278 0.000 0.000
3.278 3.278 3.278
4.918 1.639 4.918
4.918 4.918 1.639
1.639 1.639 4.918
1.639 4.918 1.639
4.918 1.639 1.639
4.918 4.918 4.918
```

Calculated values
Calculated formation energy (eV/atom): -0.0048
ρ (g/cm3): 3.200
Crystal system: cubic